No. 1
First-principles (PBE) data for a geometry-optimized Sr2YTlO5 structure, as listed in Alexandria.

Cell: 3.5367 7.4886 11.2073 Å, 90.00 90.00 103.66°
Atoms (fractional coordinates):
O 0.2792 0.5584 0.6462
O 0.0638 0.1276 0.0646
O 0.4931 0.9863 0.7768
O 0.9362 0.8724 0.5646
O 0.7208 0.4416 0.1462
O 0.5069 0.0137 0.2768
O 0.3724 0.7448 0.0148
O 0.6276 0.2552 0.5148
O 0.6959 0.3917 0.8784
O 0.3041 0.6083 0.3784
Sr 0.8624 0.7247 0.7783
Sr 0.8891 0.7782 0.1934
Sr 0.1109 0.2218 0.6934
Sr 0.1376 0.2753 0.2783
Y 0.7780 0.5560 0.5078
Y 0.2220 0.4440 0.0078
Tl 0.5230 0.0460 0.9636
Tl 0.4770 0.9540 0.4636

Summary:
* total moment: 0.0 Bohr magnetons per cell
* DFT total energy: -6.4748 eV per atom

No. 2
First-principles (PBE) data for a geometry-optimized SrY2TlO structure, as listed in Alexandria.

Cell: 4.8484 4.8484 5.0977 Å, 90.00 90.00 90.00°
Atoms (fractional coordinates):
Sr 0.0000 0.0000 0.5000
Y 0.0000 0.5000 0.0000
Y 0.5000 0.0000 0.0000
Tl 0.5000 0.5000 0.5000
O 0.0000 0.0000 0.0000

Summary:
* total moment: 0.0 Bohr magnetons per cell
* relative energy among the computed polymorphs: 0.000 eV per atom

No. 3
First-principles (PBE) data for a geometry-optimized SrY2TlO structure, as listed in Alexandria.

Cell: 4.7118 6.3606 4.7118 Å, 90.00 90.00 90.00°
Atoms (fractional coordinates):
O 0.0000 0.0000 0.0000
Tl 0.0000 0.5000 0.0000
Y 0.5000 0.0000 0.0000
Y 0.0000 0.0000 0.5000
Sr 0.5000 0.5000 0.5000

Summary:
* total moment: 0.0 Bohr magnetons per cell
* relative energy among the computed polymorphs: 0.334 eV per atom